Record 1
Material: LiLuBiPt
Method: DFT, GGA-PBE
State: optimized geometry

Its space group is F-43m. The value obtained for the total magnetization is 0.0 Bohr magnetons per cell. The calculation puts the density of states at the Fermi level at 2.49 states/eV/cell. For the total DFT energy (no corrections), the calculation gives -4.709 eV/atom.

Unit cell a=4.8838 b=4.8838 c=4.8838 alpha=60.00 beta=60.00 gamma=60.00
Closest atoms and distances in Å follow each position.
Fractional positions:
Li  0.2500  0.2500  0.2500  4 Bi 2.99, 4 Lu 2.99
Pt  0.7500  0.7500  0.7500  4 Bi 2.99, 4 Lu 2.99
Lu  0.0000  0.0000  0.0000  4 Li 2.99, 4 Pt 2.99
Bi  0.5000  0.5000  0.5000  4 Pt 2.99, 4 Li 2.99

---

Record 2
Material: LiLuTlBi
Method: DFT, GGA-PBE
State: optimized geometry

Its space group is F-43m. The value obtained for the total magnetization is 0.0 Bohr magnetons per cell. The calculation puts the density of states at the Fermi level at 2.58 states/eV/cell. For the total DFT energy (no corrections), the calculation gives -3.469 eV/atom.

Unit cell a=5.2736 b=5.2736 c=5.2736 alpha=60.00 beta=60.00 gamma=60.00
Closest atoms and distances in Å follow each position.
Fractional positions:
Li  0.7500  0.7500  0.7500  4 Bi 3.23, 4 Tl 3.23
Lu  0.2500  0.2500  0.2500  4 Tl 3.23, 4 Bi 3.23
Bi  0.5000  0.5000  0.5000  4 Lu 3.23, 4 Li 3.23
Tl  0.0000  0.0000  0.0000  4 Li 3.23, 4 Lu 3.23

---

Record 3
Material: Li4MgBi
Method: DFT, GGA-PBE
State: optimized geometry

Its space group is I4_1md. The value obtained for the total magnetization is 0.0 Bohr magnetons per cell. The calculation puts the density of states at the Fermi level at 5.99 states/eV/cell. For the total DFT energy (no corrections), the calculation gives -2.184 eV/atom.

Unit cell a=8.0601 b=8.0601 c=8.0601 alpha=103.17 beta=103.17 gamma=122.97
Closest atoms and distances in Å follow each position.
Fractional positions:
Li  0.7849  0.1152  0.3302  1 Bi 2.86, 1 Mg 3.00
Li  0.2047  0.0349  0.1698  1 Bi 2.86, 1 Mg 3.00
Li  0.8652  0.0349  0.8302  1 Bi 2.86, 1 Mg 3.00
Li  0.7849  0.4547  0.6698  1 Bi 2.86, 1 Mg 3.00
Li  0.1908  0.4368  0.2460  2 Bi 2.67-2.70
Li  0.6949  0.4408  0.2540  2 Bi 2.67-2.70
Li  0.1868  0.4408  0.7460  2 Bi 2.67-2.70
Li  0.1908  0.9449  0.7540  2 Bi 2.67-2.70
Mg  0.4640  0.9640  0.5000  1 Bi 2.92, 2 Li 3.00
Mg  0.7140  0.7140  0.0000  1 Bi 2.92, 2 Li 3.00
Bi  0.3344  0.3344  0.0000  6 Li 2.67-2.86, 1 Mg 2.92
Bi  0.0844  0.5844  0.5000  6 Li 2.67-2.86, 1 Mg 2.92

---

Record 4
Material: LiMgBi3
Method: DFT, GGA-PBE
State: optimized geometry

Its space group is Pm-3m. The value obtained for the total magnetization is 0.0 Bohr magnetons per cell. The calculation puts the density of states at the Fermi level at 1.71 states/eV/cell. For the total DFT energy (no corrections), the calculation gives -2.856 eV/atom.

Unit cell a=5.2407 b=5.2407 c=5.2407 alpha=90.00 beta=90.00 gamma=90.00
Closest atoms and distances in Å follow each position.
Fractional positions:
Bi  0.0000  0.0000  0.5000  2 Li 2.62
Bi  0.5000  0.0000  0.0000  2 Li 2.62
Bi  0.0000  0.5000  0.0000  2 Li 2.62
Li  0.0000  0.0000  0.0000  6 Bi 2.62
Mg  0.5000  0.5000  0.5000  12 Bi 3.71

---

Record 5
Material: LiMg2Bi2
Method: DFT, GGA-PBE
State: optimized geometry

Its space group is P2_1/m. The value obtained for the total magnetization is 0.0 Bohr magnetons per cell. The calculation puts the density of states at the Fermi level at 3.64 states/eV/cell. For the total DFT energy (no corrections), the calculation gives -2.816 eV/atom.

Unit cell a=4.8092 b=7.1125 c=9.9572 alpha=122.07 beta=90.00 gamma=90.00
Closest atoms and distances in Å follow each position.
Fractional positions:
Li  0.2500  0.8731  0.3124  5 Bi 3.02-3.06, 1 Mg 3.33
Li  0.7500  0.1269  0.6876  5 Bi 3.02-3.06, 1 Mg 3.33
Mg  0.7500  0.2485  0.0772  4 Bi 2.93-3.09
Mg  0.2500  0.7515  0.9228  4 Bi 2.93-3.09
Mg  0.7500  0.2796  0.4237  4 Bi 2.97-3.03
Mg  0.2500  0.7204  0.5763  4 Bi 2.97-3.03
Bi  0.7500  0.8468  0.1174  4 Mg 2.93-3.09, 2 Li 3.03
Bi  0.2500  0.3256  0.6150  4 Mg 2.95-3.03, 3 Li 3.02-3.06
Bi  0.7500  0.6744  0.3850  4 Mg 2.95-3.03, 3 Li 3.02-3.06
Bi  0.2500  0.1532  0.8826  4 Mg 2.93-3.09, 2 Li 3.03

---

Record 6
Material: Li5Mg2Bi4
Method: DFT, GGA-PBE
State: optimized geometry

Its space group is Immm. The value obtained for the total magnetization is 0.0 Bohr magnetons per cell. The calculation puts the density of states at the Fermi level at 0.43 states/eV/cell. For the total DFT energy (no corrections), the calculation gives -2.931 eV/atom.

Unit cell a=3.4842 b=9.3531 c=9.9766 alpha=117.97 beta=100.06 gamma=90.00
Closest atoms and distances in Å follow each position.
Fractional positions:
Mg  0.5873  0.5873  0.1747  5 Bi 2.89-3.18, 1 Mg 3.02, 4 Li 3.11
Mg  0.4127  0.4127  0.8253  5 Bi 2.89-3.18, 1 Mg 3.02, 4 Li 3.11
Li  0.8231  0.1021  0.6463  4 Bi 2.86-3.06, 2 Mg 3.11, 2 Li 3.12
Li  0.5000  0.0000  0.0000  4 Bi 3.04
Li  0.1768  0.4558  0.3537  4 Bi 2.86-3.06, 2 Mg 3.11, 2 Li 3.12
Li  0.1769  0.8979  0.3537  4 Bi 2.86-3.06, 2 Mg 3.11, 2 Li 3.12
Li  0.8232  0.5442  0.6463  4 Bi 2.86-3.06, 2 Mg 3.11, 2 Li 3.12
Bi  0.0000  0.7338  0.0000  4 Li 3.04-3.06, 4 Mg 3.18
Bi  0.2452  0.2452  0.4905  6 Li 2.86-3.02, 1 Mg 2.89
Bi  0.0000  0.2662  0.0000  4 Li 3.04-3.06, 4 Mg 3.18
Bi  0.7548  0.7548  0.5095  6 Li 2.86-3.02, 1 Mg 2.89

---

> Among the records above, which one has the lowest total DFT energy (no corrections)?

LiLuBiPt

---

> What is the formula in the sixth record?

Li5Mg2Bi4

---

> The lowest total DFT energy (no corrections) belongs to which entry?

LiLuBiPt